Entry 1:
{
  "formula": "Ce2CdCo2",
  "functional": "PBE",
  "state": "optimized geometry",
  "cell": [[3.7294, 0.3778, -0.0764], [-0.7126, 6.4359, -3.2006], [1.9938, 0.2937, 8.2871]],
  "species": ["Co", "Cd", "Co", "Ce", "Ce", "Cd", "Ce", "Co", "Co", "Ce"],
  "frac_coords": [[0.6807, 0.5677, 0.6351], [0.5000, 0.7495, 0.0000], [0.3194, 0.9323, 0.3649], [0.1477, 0.3511, 0.7020], [0.8526, 0.1485, 0.2974], [0.5000, 0.2505, 0.0000], [0.1474, 0.8515, 0.7026], [0.6806, 0.0677, 0.6351], [0.3193, 0.4323, 0.3649], [0.8523, 0.6489, 0.2980]],
  "formation_energy_ev_per_atom": -0.27,
  "space_group": "No. 12",
  "crystal_system": "monoclinic"
}

Entry 2:
{
  "formula": "Zr5IrOs4",
  "functional": "PBE",
  "state": "optimized geometry",
  "cell": [[3.2986, 0.0000, 0.0000], [0.0000, 3.2986, 0.0000], [0.0000, 0.0000, 16.3425]],
  "species": ["Zr", "Os", "Os", "Os", "Zr", "Os", "Zr", "Zr", "Ir", "Zr"],
  "frac_coords": [[0.5000, 0.5000, 0.5000], [0.0000, 0.0000, 0.6003], [0.0000, 0.0000, 0.1989], [0.0000, 0.0000, 0.3997], [0.5000, 0.5000, 0.0998], [0.0000, 0.0000, 0.8011], [0.5000, 0.5000, 0.7002], [0.5000, 0.5000, 0.2998], [0.0000, 0.0000, 0.0000], [0.5000, 0.5000, 0.9002]],
  "formation_energy_ev_per_atom": -0.57,
  "space_group": "No. 123",
  "crystal_system": "tetragonal"
}

Entry 3:
{
  "formula": "TbFeP2Rh5",
  "functional": "PBE",
  "state": "optimized geometry",
  "cell": [[4.3679, 0.0000, 0.0000], [0.0000, 4.3679, 0.0000], [0.0000, 0.0000, 9.1286]],
  "species": ["P", "Rh", "P", "Tb", "Rh", "Rh", "Rh", "Fe", "Rh"],
  "frac_coords": [[0.0000, 0.0000, 0.7634], [0.0000, 0.5000, 0.2813], [0.0000, 0.0000, 0.2366], [0.5000, 0.5000, 0.5000], [0.5000, 0.0000, 0.7187], [0.0000, 0.5000, 0.7187], [0.0000, 0.0000, 0.5000], [0.0000, 0.0000, 0.0000], [0.5000, 0.0000, 0.2813]],
  "formation_energy_ev_per_atom": -0.26,
  "space_group": "No. 123",
  "crystal_system": "tetragonal"
}

Entry 4:
{
  "formula": "TaV2NiBi",
  "functional": "PBE",
  "state": "optimized geometry",
  "cell": [[4.9151, 0.0000, 0.0000], [0.0000, 4.5178, 0.0000], [0.0000, 0.0000, 4.9151]],
  "species": ["V", "Ta", "Bi", "Ni", "V"],
  "frac_coords": [[0.5000, 0.0000, 0.0000], [0.5000, 0.5000, 0.5000], [0.0000, 0.0000, 0.0000], [0.0000, 0.5000, 0.0000], [0.0000, 0.0000, 0.5000]],
  "formation_energy_ev_per_atom": 1.81,
  "space_group": "No. 123",
  "crystal_system": "tetragonal",
  "e_above_lowest_polymorph_mev_per_atom": 707
}

Entry 5:
{
  "formula": "Sr3AgPb3",
  "functional": "PBE",
  "state": "optimized geometry",
  "cell": [[-1.7466, 4.5926, 1.0660], [-3.4057, 2.6096, -4.9665], [-14.1071, -3.9323, 5.6844]],
  "species": ["Sr", "Sr", "Ag", "Ag", "Pb", "Sr", "Pb", "Sr", "Pb", "Sr", "Pb", "Pb", "Sr", "Pb"],
  "frac_coords": [[0.5415, 0.3034, 0.6135], [0.5961, 0.7279, 0.0799], [0.2456, 0.8961, 0.6126], [0.7544, 0.1039, 0.3874], [0.1183, 0.8393, 0.9241], [0.4039, 0.2721, 0.9201], [0.0292, 0.1766, 0.7651], [0.7395, 0.7524, 0.7687], [0.8624, 0.7335, 0.5417], [0.2605, 0.2476, 0.2313], [0.1376, 0.2665, 0.4583], [0.9708, 0.8234, 0.2349], [0.4585, 0.6966, 0.3865], [0.8817, 0.1607, 0.0759]],
  "formation_energy_ev_per_atom": -0.49,
  "space_group": "No. 12",
  "crystal_system": "monoclinic"
}

Entry 6:
{
  "formula": "Pu2Hg5Au",
  "functional": "PBE",
  "state": "optimized geometry",
  "cell": [[-3.1248, -0.2856, 3.2902], [-1.7791, -6.0636, -2.2160], [8.9850, -5.5779, 8.0493]],
  "species": ["Pu", "Hg", "Hg", "Hg", "Hg", "Hg", "Hg", "Pu", "Au", "Hg", "Hg", "Hg", "Pu", "Pu", "Au", "Hg"],
  "frac_coords": [[0.5000, 0.2897, 0.1127], [0.0000, 0.0458, 0.2539], [0.5000, 0.7113, 0.6329], [0.0000, 0.4542, 0.7539], [0.0000, 0.9542, 0.7461], [0.0000, 0.5000, 0.5000], [0.5000, 0.2887, 0.3671], [0.5000, 0.2103, 0.6127], [0.0000, 0.0000, 0.5000], [0.0000, 0.0000, 0.0000], [0.5000, 0.7887, 0.1329], [0.0000, 0.5458, 0.2461], [0.5000, 0.7897, 0.3873], [0.5000, 0.7103, 0.8873], [0.0000, 0.5000, 0.0000], [0.5000, 0.2113, 0.8671]],
  "formation_energy_ev_per_atom": -0.13,
  "space_group": "No. 55",
  "crystal_system": "orthorhombic",
  "e_above_lowest_polymorph_mev_per_atom": 23
}

Entry 7:
{
  "formula": "Ce3HoH8",
  "functional": "PBE",
  "state": "optimized geometry",
  "cell": [[-1.2580, 5.1592, -0.8022], [-4.0956, -0.4632, 3.4432], [3.2385, 1.4183, 4.0428]],
  "species": ["Ce", "H", "H", "H", "Ce", "H", "H", "H", "Ho", "H", "H", "Ce"],
  "frac_coords": [[0.5000, 0.0000, 0.5000], [0.7585, 0.7585, 0.7585], [0.2415, 0.2415, 0.2415], [0.7585, 0.2415, 0.2415], [0.0000, 0.5000, 0.5000], [0.2415, 0.7585, 0.7585], [0.7585, 0.7585, 0.2415], [0.2415, 0.2415, 0.7585], [0.0000, 0.0000, 0.0000], [0.2415, 0.7585, 0.2415], [0.7585, 0.2415, 0.7585], [0.5000, 0.5000, 0.0000]],
  "space_group": "No. 221",
  "crystal_system": "cubic"
}

Entry 8:
{
  "formula": "ReC",
  "functional": "PBE",
  "state": "optimized geometry",
  "cell": [[-0.7522, 2.6785, -1.8096], [-2.6864, 1.9404, 0.1824], [-0.2105, 3.1672, 0.9692]],
  "species": ["Re", "C"],
  "frac_coords": [[0.5000, 0.5000, 0.5000], [0.0000, 0.0000, 0.0000]],
  "formation_energy_ev_per_atom": 0.85,
  "space_group": "No. 166",
  "crystal_system": "trigonal",
  "e_above_lowest_polymorph_mev_per_atom": 611
}

| no. | final energy (eV per cell) |
| --- | --- |
| 1 | -56.7 |
| 2 | -102.2 |
| 3 | -63.0 |
| 4 | -30.7 |
| 5 | -44.9 |
| 6 | -69.0 |
| 7 | -56.1 |
| 8 | -20.0 |